Entry 1:
ZrPaC2: optimized geometry, PBE-GGA.

Calculated values
DOS at the Fermi energy	0.453	states/eV per atom
relative energy among the computed polymorphs	405	meV/atom
symmetry	Pnnm (58)
V	15.175	A^3/atom
crystal system	orthorhombic
total magnetization	0.00	μB per formula unit
formation energy	-0.83	eV/f.u.

a b c (Å): 5.9488 5.9574 3.4257
angles (deg): 90.00 90.00 90.00
Sites, in units of the cell vectors:
Zr 0.0000 0.0000 0.0000
Zr 0.5000 0.5000 0.5000
Pa 0.0000 0.5000 0.0000
Pa 0.5000 0.0000 0.5000
C 0.1670 0.2435 0.5000
C 0.3330 0.7435 0.0000
C 0.6670 0.2565 0.0000
C 0.8330 0.7565 0.5000



Entry 2:
MnSi2As: optimized geometry, PBE-GGA.

Calculated values
DOS at the Fermi energy	0.311	states/eV per atom
symmetry	C2/m (12)
V	14.794	A^3/atom
crystal system	monoclinic
ΔE_f (raw)	0.21	eV per atom
total magnetization	0.00	μB per formula unit

a b c (Å): 4.1198 4.1198 5.2073
angles (deg): 102.09 102.09 43.41
Sites, in units of the cell vectors:
Mn 0.0000 0.0000 0.0000
Si 0.2660 0.2660 0.8237
Si 0.7340 0.7340 0.1763
As 0.5000 0.5000 0.5000



- Which of these has the highest DOS at the Fermi energy?
  ZrPaC2



- Among the records above, which one has the lowest V?
  MnSi2As



- Which of these has the lowest V?
  MnSi2As